Entry a
DFT (PBE+U) results for Fe3PdO after structural relaxation.

Calculated values
Calculated volume: 13.49 Å³/atom
Mass density: 7.1 Mg/m³
Symmetry: Pm-3m (221)
D(E_F): 1.276 states/eV/atom
Total moment: 2.2387 μB per atom

Unit cell a=4.0706 b=4.0706 c=4.0706 alpha=90.00 beta=90.00 gamma=90.00
With the nearest neighbours (Å) after each atom.
Positions (direct):
Pd: 0.5000 0.5000 0.5000  12 Fe 2.88
Fe: 0.0000 0.0000 0.5000  2 O 2.04
Fe: 0.0000 0.5000 0.0000  2 O 2.04
O: 0.0000 0.0000 0.0000  6 Fe 2.04
Fe: 0.5000 0.0000 0.0000  2 O 2.04

Entry b
DFT (PBE+U) results for Fe3PdO after structural relaxation.

Calculated values
Calculated volume: 21.35 Å³/atom
Mass density: 4.5 Mg/m³
Symmetry: Pm-3m (221)
D(E_F): 1.265 states/eV/atom
Total moment: 2.1702 μB per atom

Unit cell a=4.7440 b=4.7440 c=4.7440 alpha=90.00 beta=90.00 gamma=90.00
With the nearest neighbours (Å) after each atom.
Positions (direct):
Fe: 0.5000 0.0000 0.0000  2 Pd 2.37
Fe: 0.0000 0.5000 0.0000  2 Pd 2.37
Fe: 0.0000 0.0000 0.5000  2 Pd 2.37
Pd: 0.0000 0.0000 0.0000  6 Fe 2.37
O: 0.5000 0.5000 0.5000  12 Fe 3.35

Stability check: which of them is least stable? entry b.

Entry a
DFT (PBE+U) results for FePd3O after structural relaxation.

Calculated values
Calculated volume: 14.82 Å³/atom
Mass density: 8.8 Mg/m³
Symmetry: Pm-3m (221)
D(E_F): 0.881 states/eV/atom
Total moment: 0.7866 μB per atom

Unit cell a=4.2006 b=4.2006 c=4.2006 alpha=90.00 beta=90.00 gamma=90.00
With the nearest neighbours (Å) after each atom.
Positions (direct):
Pd: 0.0000 0.0000 0.5000  2 O 2.10
Pd: 0.0000 0.5000 0.0000  2 O 2.10
O: 0.0000 0.0000 0.0000  6 Pd 2.10
Pd: 0.5000 0.0000 0.0000  2 O 2.10
Fe: 0.5000 0.5000 0.5000  12 Pd 2.97

Entry b
DFT (PBE+U) results for FePd3O after structural relaxation.

Calculated values
Calculated volume: 20.10 Å³/atom
Mass density: 6.5 Mg/m³
Symmetry: Pm-3m (221)
D(E_F): 1.199 states/eV/atom
Total moment: 0.9275 μB per atom

Unit cell a=4.6497 b=4.6497 c=4.6497 alpha=90.00 beta=90.00 gamma=90.00
With the nearest neighbours (Å) after each atom.
Positions (direct):
Pd: 0.0000 0.0000 0.5000  2 Fe 2.32
Pd: 0.0000 0.5000 0.0000  2 Fe 2.32
Fe: 0.0000 0.0000 0.0000  6 Pd 2.32
Pd: 0.5000 0.0000 0.0000  2 Fe 2.32
O: 0.5000 0.5000 0.5000  12 Pd 3.29

Stability check: which of them is least stable? entry b.

Entry a
DFT (PBE+U) results for Rb5FeO4 after structural relaxation.

Calculated values
Calculated volume: 23.35 Å³/atom
Mass density: 3.9 Mg/m³
Symmetry: Pmn2_1 (31)
Total moment: 0.4983 μB per atom

Unit cell a=7.1860 b=7.4274 c=8.7492 alpha=90.00 beta=90.00 gamma=90.00
With the nearest neighbours (Å) after each atom.
Positions (direct):
Rb: 0.4155 0.9478 0.1880  5 O 2.86-3.06
Rb: 0.7445 0.2454 0.0000  4 O 2.85-2.93
Rb: 0.2364 0.3771 0.2175  4 O 2.78-3.04
O: 0.5926 0.2765 0.6902  1 Fe 1.94
O: 0.5926 0.2765 0.3098  1 Fe 1.94
Rb: 0.7364 0.6229 0.7175  4 O 2.78-3.04
Fe: 0.0115 0.8334 0.0000  4 O 1.94-1.98
O: 0.6045 0.9151 0.5000  1 Fe 1.98
Rb: 0.2364 0.3771 0.7825  4 O 2.78-3.04
Rb: 0.2445 0.7546 0.5000  4 O 2.85-2.93
Rb: 0.9155 0.0522 0.3120  5 O 2.86-3.06
O: 0.2424 0.1480 0.5000  1 Fe 1.94
Rb: 0.9155 0.0522 0.6880  5 O 2.86-3.06
Rb: 0.4155 0.9478 0.8120  5 O 2.86-3.06
O: 0.0926 0.7235 0.1902  1 Fe 1.94
O: 0.0926 0.7235 0.8098  1 Fe 1.94
O: 0.7424 0.8520 0.0000  1 Fe 1.94
Fe: 0.5115 0.1666 0.5000  4 O 1.94-1.98
O: 0.1045 0.0849 0.0000  1 Fe 1.98
Rb: 0.7364 0.6229 0.2825  4 O 2.78-3.04

Entry b
DFT (PBE+U) results for Rb5FeO4 after structural relaxation.

Calculated values
Calculated volume: 23.55 Å³/atom
Mass density: 3.9 Mg/m³
Symmetry: P2_1/c (14)
Total moment: 0.4993 μB per atom

Unit cell a=12.1293 b=7.1179 c=11.0134 alpha=82.24 beta=90.00 gamma=90.00
With the nearest neighbours (Å) after each atom.
Positions (direct):
Fe: 0.5332 0.3768 0.2537  4 O 1.93-1.95
O: 0.6208 0.6976 0.7579  1 Fe 1.95
Rb: 0.4328 0.9457 0.3680  4 O 2.79-2.96
Rb: 0.0672 0.4457 0.3680  4 O 2.79-2.96
O: 0.8792 0.1976 0.7579  1 Fe 1.95
O: 0.1032 0.2652 0.6053  1 Fe 1.93
Rb: 0.7039 0.9949 0.2360  4 O 2.87-3.19
O: 0.5375 0.6445 0.2703  1 Fe 1.94
Rb: 0.5825 0.7241 0.0128  4 O 2.77-2.88
Rb: 0.5672 0.0543 0.6320  4 O 2.79-2.96
Rb: 0.2039 0.5051 0.7640  4 O 2.87-3.19
Fe: 0.0332 0.1232 0.7463  4 O 1.93-1.95
Rb: 0.7961 0.4949 0.2360  4 O 2.87-3.19
O: 0.8968 0.7348 0.3947  1 Fe 1.93
Rb: 0.9175 0.2241 0.0128  4 O 2.77-2.88
Rb: 0.2961 0.0051 0.7640  4 O 2.87-3.19
Fe: 0.9668 0.8768 0.2537  4 O 1.93-1.95
Rb: 0.9328 0.5543 0.6320  4 O 2.79-2.96
Rb: 0.3613 0.4261 0.4951  3 O 2.84-3.04
O: 0.1130 0.1643 0.8942  1 Fe 1.95
Rb: 0.8613 0.0739 0.5049  3 O 2.84-3.04
O: 0.3792 0.3024 0.2421  1 Fe 1.95
Rb: 0.4175 0.2759 0.9872  4 O 2.77-2.88
Rb: 0.8249 0.8342 0.8485  4 O 2.72-2.93
Rb: 0.6387 0.5739 0.5049  3 O 2.84-3.04
O: 0.8870 0.8357 0.1058  1 Fe 1.95
Fe: 0.4668 0.6232 0.7463  4 O 1.93-1.95
Rb: 0.3249 0.6658 0.1515  4 O 2.72-2.93
O: 0.9625 0.1445 0.2703  1 Fe 1.94
O: 0.3968 0.7652 0.6053  1 Fe 1.93
Rb: 0.1751 0.1658 0.1515  4 O 2.72-2.93
Rb: 0.1387 0.9261 0.4951  3 O 2.84-3.04
O: 0.6130 0.3357 0.1058  1 Fe 1.95
O: 0.3870 0.6643 0.8942  1 Fe 1.95
Rb: 0.6751 0.3342 0.8485  4 O 2.72-2.93
O: 0.0375 0.8555 0.7297  1 Fe 1.94
Rb: 0.0825 0.7759 0.9872  4 O 2.77-2.88
O: 0.6032 0.2348 0.3947  1 Fe 1.93
O: 0.4625 0.3555 0.7297  1 Fe 1.94
O: 0.1208 0.8024 0.2421  1 Fe 1.95

Entry c
DFT (PBE+U) results for Rb5FeO4 after structural relaxation.

Calculated values
Calculated volume: 23.65 Å³/atom
Mass density: 3.8 Mg/m³
Symmetry: Pmmn (59)
Total moment: 0.4973 μB per atom

Unit cell a=6.6480 b=8.0732 c=8.8147 alpha=90.00 beta=90.00 gamma=90.00
With the nearest neighbours (Å) after each atom.
Positions (direct):
Rb: 0.1436 0.5000 0.0000  4 O 2.80-3.03
O: 0.9520 0.5000 0.3123  1 Fe 1.96
O: 0.3648 0.7956 0.0000  1 Fe 1.95
O: 0.0480 0.0000 0.8123  1 Fe 1.96
O: 0.0480 0.0000 0.1877  1 Fe 1.96
Rb: 0.7375 0.2379 0.1914  4 O 2.77-3.01
Fe: 0.7926 0.5000 0.5000  4 O 1.95-1.96
Rb: 0.7375 0.7621 0.8086  4 O 2.77-3.01
Fe: 0.2074 0.0000 0.0000  4 O 1.95-1.96
O: 0.3648 0.2044 0.0000  1 Fe 1.95
Rb: 0.7375 0.2379 0.8086  4 O 2.77-3.01
Rb: 0.2625 0.2621 0.3086  4 O 2.77-3.01
O: 0.6352 0.7044 0.5000  1 Fe 1.95
O: 0.6352 0.2956 0.5000  1 Fe 1.95
O: 0.9520 0.5000 0.6877  1 Fe 1.96
Rb: 0.2625 0.7379 0.6914  4 O 2.77-3.01
Rb: 0.2625 0.7379 0.3086  4 O 2.77-3.01
Rb: 0.2625 0.2621 0.6914  4 O 2.77-3.01
Rb: 0.7375 0.7621 0.1914  4 O 2.77-3.01
Rb: 0.8564 0.0000 0.5000  4 O 2.80-3.03

Stability check: which of them is least stable? entry c.

Entry a
DFT (PBE+U) results for Rb5FeO4 after structural relaxation.

Calculated values
Calculated volume: 23.27 Å³/atom
Mass density: 3.9 Mg/m³
Symmetry: Pbca (61)
Total moment: 0.4994 μB per atom

Unit cell a=7.0885 b=12.1455 c=21.6184 alpha=90.00 beta=90.00 gamma=90.00
With the nearest neighbours (Å) after each atom.
Positions (direct):
O: 0.7100 0.8974 0.0535  1 Fe 1.93
O: 0.2900 0.1026 0.9465  1 Fe 1.93
O: 0.7900 0.8974 0.5535  1 Fe 1.93
Rb: 0.4189 0.5665 0.4338  4 O 2.78-2.92
Rb: 0.0726 0.3604 0.5023  3 O 2.84-3.03
O: 0.2100 0.1026 0.4465  1 Fe 1.93
Fe: 0.6764 0.9676 0.6247  4 O 1.93-1.95
Rb: 0.1062 0.6728 0.3245  4 O 2.77-2.98
Rb: 0.4274 0.8604 0.4977  3 O 2.84-3.03
O: 0.2900 0.6026 0.5535  1 Fe 1.93
O: 0.2438 0.6098 0.1994  1 Fe 1.95
O: 0.2481 0.3777 0.6296  1 Fe 1.95
Rb: 0.9326 0.7043 0.1331  4 O 2.87-3.13
O: 0.7438 0.8902 0.1994  1 Fe 1.95
Rb: 0.5726 0.1396 0.5023  3 O 2.84-3.03
Rb: 0.0674 0.2957 0.8669  4 O 2.87-3.13
Rb: 0.3938 0.6728 0.8245  4 O 2.77-2.98
Rb: 0.0726 0.8604 0.9977  3 O 2.84-3.03
Rb: 0.1062 0.1728 0.1755  4 O 2.77-2.98
Rb: 0.6062 0.8272 0.3245  4 O 2.77-2.98
O: 0.4041 0.9596 0.6165  1 Fe 1.94
O: 0.2519 0.8777 0.3704  1 Fe 1.95
Rb: 0.9274 0.1396 0.0023  3 O 2.84-3.03
Rb: 0.4326 0.2957 0.3669  4 O 2.87-3.13
O: 0.7562 0.8902 0.6994  1 Fe 1.95
O: 0.7900 0.3974 0.9465  1 Fe 1.93
Rb: 0.3879 0.9176 0.7469  4 O 2.77-2.89
O: 0.2438 0.1098 0.3006  1 Fe 1.95
O: 0.7100 0.3974 0.4465  1 Fe 1.93
Rb: 0.8879 0.5824 0.7469  4 O 2.77-2.89
Fe: 0.1764 0.0324 0.8753  4 O 1.93-1.95
O: 0.0959 0.4596 0.3835  1 Fe 1.94
Fe: 0.3236 0.0324 0.3753  4 O 1.93-1.95
O: 0.7519 0.6223 0.3704  1 Fe 1.95
Rb: 0.6062 0.3272 0.1755  4 O 2.77-2.98
Rb: 0.3938 0.1728 0.6755  4 O 2.77-2.98
Rb: 0.5674 0.7043 0.6331  4 O 2.87-3.13
O: 0.2481 0.8777 0.8704  1 Fe 1.95
O: 0.9041 0.0404 0.8835  1 Fe 1.94
O: 0.2562 0.1098 0.8006  1 Fe 1.95
Fe: 0.8236 0.9676 0.1247  4 O 1.93-1.95
Rb: 0.9274 0.6396 0.4977  3 O 2.84-3.03
O: 0.2100 0.6026 0.0535  1 Fe 1.93
Rb: 0.9189 0.9335 0.4338  4 O 2.78-2.92
Rb: 0.5811 0.9335 0.9338  4 O 2.78-2.92
Rb: 0.6121 0.5824 0.2469  4 O 2.77-2.89
Fe: 0.3236 0.5324 0.1247  4 O 1.93-1.95
Rb: 0.5674 0.2043 0.8669  4 O 2.87-3.13
O: 0.2519 0.3777 0.1296  1 Fe 1.95
O: 0.2562 0.6098 0.6994  1 Fe 1.95
O: 0.5959 0.0404 0.3835  1 Fe 1.94
O: 0.5959 0.5404 0.1165  1 Fe 1.94
Rb: 0.8938 0.3272 0.6755  4 O 2.77-2.98
Rb: 0.0811 0.5665 0.9338  4 O 2.78-2.92
O: 0.7562 0.3902 0.8006  1 Fe 1.95
Rb: 0.6121 0.0824 0.2531  4 O 2.77-2.89
O: 0.7481 0.1223 0.6296  1 Fe 1.95
O: 0.9041 0.5404 0.6165  1 Fe 1.94
Rb: 0.4326 0.7957 0.1331  4 O 2.87-3.13
Rb: 0.5726 0.6396 0.9977  3 O 2.84-3.03
O: 0.4041 0.4596 0.8835  1 Fe 1.94
O: 0.7481 0.6223 0.8704  1 Fe 1.95
Rb: 0.8938 0.8272 0.8245  4 O 2.77-2.98
Rb: 0.3879 0.4176 0.7531  4 O 2.77-2.89
Rb: 0.4189 0.0665 0.0662  4 O 2.78-2.92
Rb: 0.5811 0.4335 0.5662  4 O 2.78-2.92
Rb: 0.8879 0.0824 0.7531  4 O 2.77-2.89
Rb: 0.9189 0.4335 0.0662  4 O 2.78-2.92
O: 0.0959 0.9596 0.1165  1 Fe 1.94
Rb: 0.9326 0.2043 0.3669  4 O 2.87-3.13
Fe: 0.1764 0.5324 0.6247  4 O 1.93-1.95
Rb: 0.0811 0.0665 0.5662  4 O 2.78-2.92
Rb: 0.1121 0.4176 0.2531  4 O 2.77-2.89
Fe: 0.6764 0.4676 0.8753  4 O 1.93-1.95
Fe: 0.8236 0.4676 0.3753  4 O 1.93-1.95
Rb: 0.0674 0.7957 0.6331  4 O 2.87-3.13
O: 0.7519 0.1223 0.1296  1 Fe 1.95
O: 0.7438 0.3902 0.3006  1 Fe 1.95
Rb: 0.1121 0.9176 0.2469  4 O 2.77-2.89
Rb: 0.4274 0.3604 0.0023  3 O 2.84-3.03

Entry b
DFT (PBE+U) results for Rb5FeO4 after structural relaxation.

Calculated values
Calculated volume: 24.90 Å³/atom
Mass density: 3.6 Mg/m³
Symmetry: Pnma (62)
Total moment: 0.4998 μB per atom

Unit cell a=11.9614 b=7.4005 c=13.4710 alpha=56.65 beta=90.00 gamma=90.00
With the nearest neighbours (Å) after each atom.
Positions (direct):
Rb: 0.1885 0.1569 0.1037  4 O 2.85-2.95
Rb: 0.6885 0.8431 0.3963  4 O 2.85-2.95
O: 0.5771 0.2517 0.2501  1 Fe 1.94
O: 0.8529 0.8371 0.1063  1 Fe 1.97
Rb: 0.3115 0.8646 0.8959  4 O 2.85-2.95
Rb: 0.8115 0.8431 0.8963  4 O 2.85-2.95
Rb: 0.8029 0.3942 0.2502  4 O 2.72-2.90
O: 0.1136 0.9471 0.7497  1 Fe 1.90
Rb: 0.9380 0.2603 0.9493  3 O 2.73-2.83
Rb: 0.6971 0.3942 0.7502  4 O 2.72-2.90
Rb: 0.3115 0.1569 0.6037  4 O 2.85-2.95
Rb: 0.4379 0.3408 0.9495  3 O 2.73-2.83
O: 0.8864 0.0529 0.2503  1 Fe 1.90
Fe: 0.9184 0.8012 0.2501  4 O 1.90-1.97
O: 0.3864 0.9471 0.2497  1 Fe 1.90
Fe: 0.0816 0.1988 0.7499  4 O 1.90-1.97
Rb: 0.3029 0.6058 0.2498  4 O 2.72-2.90
Rb: 0.9379 0.6592 0.5505  3 O 2.73-2.83
Rb: 0.1971 0.6058 0.7498  4 O 2.72-2.90
O: 0.1469 0.4508 0.6062  1 Fe 1.97
Rb: 0.5621 0.6592 0.0505  3 O 2.73-2.83
Fe: 0.4184 0.1988 0.2499  4 O 1.90-1.97
O: 0.3529 0.1629 0.3937  1 Fe 1.97
O: 0.6469 0.5492 0.8938  1 Fe 1.97
Fe: 0.5816 0.8012 0.7501  4 O 1.90-1.97
Rb: 0.6885 0.1354 0.1041  4 O 2.85-2.95
O: 0.9229 0.2517 0.7501  1 Fe 1.94
O: 0.6136 0.0529 0.7503  1 Fe 1.90
O: 0.1471 0.1629 0.8937  1 Fe 1.97
O: 0.0771 0.7483 0.2499  1 Fe 1.94
Rb: 0.1885 0.8646 0.3959  4 O 2.85-2.95
O: 0.3531 0.4508 0.1062  1 Fe 1.97
Rb: 0.0620 0.7397 0.0507  3 O 2.73-2.83
Rb: 0.0621 0.3408 0.4495  3 O 2.73-2.83
Rb: 0.8115 0.1354 0.6041  4 O 2.85-2.95
O: 0.8531 0.5492 0.3938  1 Fe 1.97
O: 0.6471 0.8371 0.6063  1 Fe 1.97
Rb: 0.5620 0.2603 0.4493  3 O 2.73-2.83
Rb: 0.4380 0.7397 0.5507  3 O 2.73-2.83
O: 0.4229 0.7483 0.7499  1 Fe 1.94

Stability check: which of them is least stable? entry b.

Entry a
DFT (PBE+U) results for Rb3FeO3 after structural relaxation.

Calculated values
Calculated volume: 24.97 Å³/atom
Mass density: 3.4 Mg/m³
Symmetry: P2_1/c (14)
Total moment: 0.4286 μB per atom

Unit cell a=11.7973 b=5.2419 c=11.6856 alpha=75.31 beta=90.00 gamma=90.00
With the nearest neighbours (Å) after each atom.
Positions (direct):
Fe: 0.3239 0.7948 0.7622  3 O 1.78-1.79
Rb: 0.3972 0.1002 0.3650  4 O 2.82-2.98
O: 0.3618 0.9444 0.6116  1 Fe 1.79
O: 0.5979 0.2409 0.1036  1 Fe 1.79
Fe: 0.1761 0.7948 0.2622  3 O 1.78-1.79
O: 0.6904 0.3680 0.7072  1 Fe 1.78
O: 0.8618 0.0556 0.8884  1 Fe 1.79
Rb: 0.0043 0.7321 0.6280  4 O 2.87-2.92
O: 0.6382 0.0556 0.3884  1 Fe 1.79
Rb: 0.6028 0.8998 0.6350  4 O 2.82-2.98
Rb: 0.7291 0.5204 0.4493  4 O 2.87-2.95
Rb: 0.1028 0.1002 0.8650  4 O 2.82-2.98
O: 0.9021 0.2409 0.6036  1 Fe 1.79
O: 0.1382 0.9444 0.1116  1 Fe 1.79
Rb: 0.8972 0.8998 0.1350  4 O 2.82-2.98
Rb: 0.9957 0.2679 0.3720  4 O 2.87-2.92
Rb: 0.4957 0.7321 0.1280  4 O 2.87-2.92
Fe: 0.6761 0.2052 0.2378  3 O 1.78-1.79
Rb: 0.7709 0.5204 0.9493  4 O 2.87-2.95
Fe: 0.8239 0.2052 0.7378  3 O 1.78-1.79
Rb: 0.2709 0.4796 0.5507  4 O 2.87-2.95
O: 0.4021 0.7591 0.8964  1 Fe 1.79
O: 0.0979 0.7591 0.3964  1 Fe 1.79
O: 0.1904 0.6320 0.7928  1 Fe 1.78
Rb: 0.2291 0.4796 0.0507  4 O 2.87-2.95
O: 0.8096 0.3680 0.2072  1 Fe 1.78
O: 0.3096 0.6320 0.2928  1 Fe 1.78
Rb: 0.5043 0.2679 0.8720  4 O 2.87-2.92

Entry b
DFT (PBE+U) results for Rb3FeO3 after structural relaxation.

Calculated values
Calculated volume: 21.42 Å³/atom
Mass density: 4.0 Mg/m³
Symmetry: P2_1/c (14)
D(E_F): 0.000 states/eV/atom
Total moment: 0.7142 μB per atom

Unit cell a=7.0016 b=7.7218 c=11.1486 alpha=84.39 beta=90.00 gamma=90.00
With the nearest neighbours (Å) after each atom.
Positions (direct):
O: 0.9425 0.7055 0.1809  1 Fe 1.88
Fe: 0.4204 0.8461 0.5638  4 O 1.88-2.00
Rb: 0.6859 0.3657 0.6956  5 O 2.76-3.04
Fe: 0.0796 0.8461 0.0638  4 O 1.88-2.00
O: 0.8270 0.2431 0.4602  1 Fe 1.89
Rb: 0.1758 0.3547 0.5727  3 O 2.74-2.91
Rb: 0.8242 0.6453 0.4273  3 O 2.74-2.91
O: 0.4469 0.0969 0.5925  2 Fe 1.99-2.00
O: 0.5575 0.7055 0.6809  1 Fe 1.88
Rb: 0.3141 0.6343 0.3044  5 O 2.76-3.04
Fe: 0.9204 0.1539 0.9362  4 O 1.88-2.00
Rb: 0.3242 0.3547 0.0727  3 O 2.74-2.91
O: 0.4425 0.2945 0.3191  1 Fe 1.88
O: 0.5531 0.9031 0.4075  2 Fe 1.99-2.00
Rb: 0.8141 0.3657 0.1956  5 O 2.76-3.04
O: 0.9469 0.9031 0.9075  2 Fe 1.99-2.00
O: 0.1730 0.7569 0.5398  1 Fe 1.89
Rb: 0.3747 0.0496 0.8471  4 O 2.87-2.98
Fe: 0.5796 0.1539 0.4362  4 O 1.88-2.00
O: 0.6730 0.2431 0.9602  1 Fe 1.89
O: 0.3270 0.7569 0.0398  1 Fe 1.89
Rb: 0.1253 0.0496 0.3471  4 O 2.87-2.98
Rb: 0.8747 0.9504 0.6529  4 O 2.87-2.98
Rb: 0.6253 0.9504 0.1529  4 O 2.87-2.98
Rb: 0.6758 0.6453 0.9273  3 O 2.74-2.91
O: 0.0575 0.2945 0.8191  1 Fe 1.88
O: 0.0531 0.0969 0.0925  2 Fe 1.99-2.00
Rb: 0.1859 0.6343 0.8044  5 O 2.76-3.04

Stability check: which of them is least stable? entry a.